This record from Alexandria describes a relaxed Ca2Zn7Ag12 crystal. The functional is PBE-GGA.

The structure belongs to space group P-3 (No. 147); the cell edges are 10.9654, 10.9654 and 3.8274 Å and the angles 90.00°, 90.00° and 120.00°. The asymmetric unit holds Ca at (0.3333, 0.6667, 0.2477), Zn at (0.0000, 0.0000, 0.5000), Zn at (0.1277, 0.7095, 0.7470), Ag at (0.0615, 0.4403, 0.7503) and Ag at (0.1083, 0.2566, 0.2430).

Its calculated formation energy is -0.075 eV/atom. The value obtained for the size of the total moment is 0.0 μB/f.u.

=====

This record from Alexandria describes a relaxed Ca12Zn6Ag crystal. The functional is PBE-GGA.

The structure belongs to space group Im-3 (No. 204); the cell edges are 10.501, 10.501 and 10.501 Å and the angles 90.00°, 90.00° and 90.00°. The asymmetric unit holds Ca at (0.000, 0.291, 0.185), Zn at (0.000, 0.122, 0.500) and Ag at (0.000, 0.000, 0.000).

Its calculated formation energy is -0.155 eV/atom. The value obtained for the size of the total moment is 0.0 μB/f.u.

=====

This record from Alexandria describes a relaxed Ca2Zn6Ag9 crystal. The functional is PBE-GGA.

The structure belongs to space group P6/mmm (No. 191); the cell edges are 5.6503, 5.6503 and 13.0373 Å and the angles 90.00°, 90.00° and 120.00°. The asymmetric unit holds Ca at (0.0000, 0.0000, 0.1652), Zn at (0.3333, 0.6667, 0.1653), Zn at (0.3333, 0.6667, 0.5000), Ag at (0.0000, 0.5000, 0.0000) and Ag at (0.0000, 0.5000, 0.3321).

Its calculated formation energy is -0.072 eV/atom. The value obtained for the size of the total moment is 0.0 μB/f.u.

=====

This record from Alexandria describes a relaxed Ca2ZnAg6 crystal. The functional is PBE-GGA.

The structure belongs to space group C2/m (No. 12); the cell edges are 10.437, 6.033 and 6.062 Å and the angles 90.00°, 90.06° and 90.00°. The asymmetric unit holds Ca at (0.167, 0.000, 0.346), Zn at (0.000, 0.500, 0.500), Ag at (0.087, 0.238, 0.820) and Ag at (0.174, 0.500, 0.180).

Its calculated formation energy is -0.210 eV/atom. The value obtained for the size of the total moment is 0.0 μB/f.u.

=====

This record from Alexandria describes a relaxed Ca2ZnAg5 crystal. The functional is PBE-GGA.

The structure belongs to space group Cmcm (No. 63); the cell edges are 4.322, 17.065 and 9.752 Å and the angles 90.00°, 90.00° and 90.00°. The asymmetric unit holds Ca at (0.000, 0.000, 0.000), Ca at (0.000, 0.193, 0.250), Zn at (0.000, 0.458, 0.750), Ag at (0.000, 0.200, 0.602), Ag at (0.000, 0.366, 0.538) and Ag at (0.000, 0.389, 0.250).

Its calculated formation energy is -0.190 eV/atom. The value obtained for the size of the total moment is 0.0 μB/f.u.

=====

This record from Alexandria describes a relaxed CaZn2Ag crystal. The functional is PBE-GGA.

The structure belongs to space group Cm (No. 8); the cell edges are 7.742, 4.475 and 5.650 Å and the angles 90.00°, 117.35° and 90.00°. The asymmetric unit holds Ca at (0.000, 0.000, 0.000), Zn at (0.295, 0.500, 0.386), Zn at (0.490, 0.000, 0.469) and Ag at (0.205, 0.000, 0.614).

Its calculated formation energy is -0.204 eV/atom. The value obtained for the size of the total moment is 0.0 μB/f.u.

=====

This record from Alexandria describes a relaxed CaZn6Ag12 crystal. The functional is PBE-GGA.

The structure belongs to space group R-3m (No. 166, hexagonal axes); the cell edges are 11.8466, 11.8466 and 8.9752 Å and the angles 90.00°, 90.00° and 120.00°. The asymmetric unit holds Ca at (0.0000, 0.0000, 0.0000), Zn at (0.0541, 0.5271, 0.2464), Ag at (0.0000, 0.3837, 0.5000) and Ag at (0.0837, 0.1674, 0.3030).

Its calculated formation energy is 0.034 eV/atom. The value obtained for the size of the total moment is 0.0 μB/f.u.

=====

This record from Alexandria describes a relaxed Ca3Zn6Ag20 crystal. The functional is PBE-GGA.

The structure belongs to space group Fm-3m (No. 225); the cell edges are 13.094, 13.094 and 13.094 Å and the angles 90.00°, 90.00° and 90.00°. The asymmetric unit holds Ca at (0.000, 0.000, 0.000), Ca at (0.250, 0.250, 0.250), Zn at (0.000, 0.000, 0.267), Ag at (0.000, 0.175, 0.175) and Ag at (0.117, 0.117, 0.383).

Its calculated formation energy is -0.055 eV/atom. The value obtained for the size of the total moment is 0.0 μB/f.u.

=====

size of the total moment of number 2 (Ca12Zn6Ag)? 0.0 μB/f.u.

=====

Number 7 is which compound? CaZn6Ag12